HfV2 | meta-GGA SCAN | PBEsol geometry

Properties
- calculated density (g/cm³) = 9.93
- E_tot (eV/cell) = -195.03
- ΔH_f (0 K) (eV per atom) = 0.04
- spin magnetization (μB/f.u.) = 0.0
- space-group type = Fd-3m, No. 227

Cell lengths 5.099, 5.099, 5.099 Å; angles 60.00, 60.00, 60.00 degrees
Atoms (fractional coordinates):
Hf1 0.125 0.125 0.125
Hf2 0.875 0.875 0.875
V1 0.000 0.500 0.500
V2 0.500 0.000 0.500
V3 0.500 0.500 0.000
V4 0.500 0.500 0.500